No. 1
## PuHgBr2F6 (PBE-GGA)

Data for a geometry-optimized PuHgBr2F6 structure.

Values from the calculation:
Uncorrected energy = -4.7786 eV per atom
Density of states at the Fermi level = 17.985 states/eV/cell
ΔE_f (raw) = -1.858 eV/atom
Theoretical density = 6.32 g/cm3

The structure in POSCAR format:
```
PuHgBr2F6
1.0
4.5452 -4.5587 0.0000
4.5452 4.5587 0.0000
-4.5265 0.0000 4.5524
Pu Hg Br F
1 1 2 6
Cartesian
0.0000 0.0000 0.0000
4.5452 0.0000 0.0000
2.2819 2.2703 2.2762
2.2819 -2.2703 2.2762
0.0038 0.0000 2.1406
-2.3844 0.0000 4.5474
4.5452 2.4203 0.0000
4.5452 -2.4203 0.0000
6.9482 0.0000 0.0050
4.5600 0.0000 2.4118
```

No. 2
## LiZnCr2 (PBE-GGA)

Data for a geometry-optimized LiZnCr2 structure.

Values from the calculation:
ΔH_f (0 K) = 460 meV/atom
Uncorrected energy = -5.1488 eV per atom
Density of states at the Fermi level = 4.390 states/eV/cell
E above lowest polymorph = 27.5 kJ/mol of atoms
Theoretical density = 5.65 g/cm3

The structure in POSCAR format:
```
LiZnCr2
1.0
1.2701 0.7333 9.2737
-1.2701 0.7333 9.2737
0.0000 -1.4665 9.2737
Li Zn Cr
1 1 2
Cartesian
0.0000 0.0000 0.0000
0.0000 0.0000 13.9106
0.0000 0.0000 6.9003
0.0000 0.0000 20.9209
```

No. 3
## TcIrNO2 (PBE-GGA)

Data for a geometry-optimized TcIrNO2 structure.

Values from the calculation:
Uncorrected energy = -6.8488 eV per atom
Density of states at the Fermi level = 2.846 states/eV/cell
ΔE_f (raw) = 0.645 eV/atom
Theoretical density = 8.96 g/cm3

The structure in POSCAR format:
```
TcIrNO2
1.0
4.0990 0.0000 0.0000
0.0000 4.0990 0.0000
0.0000 0.0000 3.7092
Tc Ir N O
1 1 1 2
Cartesian
0.0000 0.0000 0.0000
2.0495 2.0495 1.8546
2.0495 2.0495 0.0000
0.0000 2.0495 1.8546
2.0495 0.0000 1.8546
```

No. 4
## Dy5Hg2Pb (PBE-GGA)

Data for a geometry-optimized Dy5Hg2Pb structure.

Values from the calculation:
ΔH_f (0 K) = -418 meV/atom
Uncorrected energy = -3.8338 eV per atom
Density of states at the Fermi level = 11.363 states/eV/cell
Theoretical density = 10.45 g/cm3

The structure in POSCAR format:
```
Dy5Hg2Pb
1.0
-4.1506 4.1506 6.5559
4.1506 -4.1506 6.5559
4.1506 4.1506 -6.5559
Dy Hg Pb
10 4 2
Cartesian
0.0000 0.0000 0.0000
5.4268 1.2763 -1.9382
1.2763 2.8743 -1.9382
5.4268 1.2763 1.9382
1.2763 2.8743 1.9382
0.0000 0.0000 6.5559
2.8743 1.2763 4.6177
-1.2763 2.8743 4.6177
2.8743 1.2763 8.4941
-1.2763 2.8743 8.4941
2.9940 1.1566 0.0000
2.9940 -1.1566 6.5559
1.1566 5.3071 0.0000
1.1566 2.9940 6.5559
0.0000 0.0000 3.2780
0.0000 0.0000 9.8339
```